No. 1
Entry from the Alexandria database: a relaxed structure of SrAlW2 (PBE).

abc: 3.959 2.890 7.770
angles: 73.49 90.00 90.00
Positions (direct):
1 Sr 0.500 0.808 0.747
2 Al 0.000 0.538 0.432
3 W 0.000 0.992 0.070
4 W 0.500 0.162 0.250

E_tot in eV per atom: -7.3870
Symmetry: Pm, No. 6
Total magnetic moment in Bohr magnetons per cell: 0.00

---

No. 2
Entry from the Alexandria database: a relaxed structure of SrAlW2 (PBE).

abc: 4.832 4.055 4.055
angles: 90.00 90.00 90.00
Positions (direct):
1 Sr 0.500 0.000 0.500
2 Al 0.500 0.500 0.000
3 W 0.000 0.000 0.000
4 W 0.000 0.500 0.500

E_tot in eV per atom: -6.7433
Symmetry: P4/mmm, No. 123
Total magnetic moment in Bohr magnetons per cell: 0.00